9
Lattice="-1.558 -0.499 -4.038 1.375 -8.323 0.497 -7.651 2.071 5.047" Properties=species:S:1:pos:R:3 comment="GGA-PBE K4Tl3Pd2, optimized geometry" delta_e_f_kj_per_mol_atoms=-14 sg="No. 12" pbc="T T T"
K -2.884 -4.830 1.709
K -0.932 -7.265 -1.094
Tl 0.688 -4.162 0.249
K -4.950 -1.921 -0.204
Tl -1.395 -1.609 0.737
Pd -1.571 -3.556 -1.306
Tl -6.439 -5.142 0.769
Pd -6.263 -3.195 2.811
K -6.903 0.514 2.600


5
Lattice="4.853 0.000 0.000 0.000 4.853 0.000 0.000 0.000 4.853" Properties=species:S:1:pos:R:3 comment="GGA-PBE LaZrRu3, optimized geometry" e_above_lowest_polymorph_ev_per_atom=0.000 delta_e_f_kj_per_mol_atoms=68 sg="No. 221" pbc="T T T"
Ru 2.426 0.000 0.000
Ru 0.000 0.000 2.426
Ru 0.000 2.426 0.000
Zr 0.000 0.000 0.000
La 2.426 2.426 2.426


10
Lattice="8.125 0.000 0.000 0.001 8.125 0.000 4.062 4.062 5.745" Properties=species:S:1:pos:R:3 comment="GGA-PBE Ba2NdCdHg6, optimized geometry" delta_e_f_kj_per_mol_atoms=-17 sg="No. 225" pbc="T T T"
Ba 8.125 4.062 2.872
Hg 6.153 1.971 0.000
Hg 8.125 8.124 2.788
Hg 1.972 6.153 0.000
Cd 0.000 0.000 0.000
Hg 6.153 6.153 0.000
Hg 1.972 1.971 0.000
Hg 4.062 4.062 2.957
Nd 4.063 4.062 0.000
Ba 4.063 8.124 2.872


5
Lattice="-4.197 3.518 1.285 -3.159 -4.362 1.624 2.092 0.509 5.438" Properties=species:S:1:pos:R:3 comment="GGA-PBE CsGeAsSe2, optimized geometry" e_above_lowest_polymorph_ev_per_atom=1.461 formation_energy_uncorrected_ev_per_fu=7.2 sg="No. 123" pbc="T T T"
Se -2.099 1.759 0.642
Se -1.580 -2.181 0.812
As 1.046 0.255 2.719
Cs 0.000 0.000 0.000
Ge -2.632 -0.167 4.174


4
Lattice="3.697 0.000 0.000 0.000 3.697 0.000 0.000 0.000 7.132" Properties=species:S:1:pos:R:3 comment="GGA-PBE Li2AcGa, optimized geometry" delta_e_f_kj_per_mol_atoms=-4 sg="No. 123" pbc="T T T"
Ga 1.848 1.848 0.000
Ac 1.848 1.848 3.566
Li 0.000 0.000 5.867
Li 0.000 0.000 1.265


4
Lattice="-3.635 0.807 0.875 -0.219 -3.294 2.128 1.202 1.972 3.177" Properties=species:S:1:pos:R:3 comment="GGA-PBE Zn2CuAu, optimized geometry" delta_e_f_kj_per_mol_atoms=-14 sg="No. 123" pbc="T T T"
Zn -0.109 -1.647 1.064
Cu -1.818 0.403 0.437
Zn 0.601 0.986 1.588
Au -1.326 -0.258 3.090


11
Lattice="-2.589 2.312 0.755 -2.505 -5.037 6.831 7.029 5.924 5.956" Properties=species:S:1:pos:R:3 comment="GGA-PBE Pm5Ho4Cd2, optimized geometry" delta_e_f_kj_per_mol_atoms=0 sg="No. 10" pbc="T T T"
Ho -2.535 -2.352 6.864
Ho 0.694 0.575 8.972
Pm -1.253 -2.518 3.415
Ho 1.241 2.625 4.571
Pm 3.900 0.938 10.496
Ho 4.470 5.552 6.678
Pm 0.623 -0.051 2.291
Cd 0.205 -2.546 8.496
Pm 0.937 -0.809 5.687
Pm 3.587 1.697 7.100
Cd 4.318 3.433 4.291


20
Lattice="-3.630 1.298 1.601 -0.648 -7.843 4.888 4.528 4.002 7.021" Properties=species:S:1:pos:R:3 comment="GGA-PBE Tb2Al5Fe2Ag, optimized geometry" delta_e_f_kj_per_mol_atoms=-27 sg="No. 127" pbc="T T T"
Fe 0.186 -2.755 2.654
Fe 2.646 1.623 4.684
Al -2.139 -3.273 3.244
Tb 0.403 -4.641 4.676
Tb 2.586 -3.622 8.798
Fe 3.694 -1.086 9.255
Al -1.447 -5.857 6.908
Al 1.697 3.314 6.602
Ag 1.940 -1.920 5.955
Al -1.681 -0.801 2.279
Tb 3.477 0.800 7.233
Fe 1.234 -5.463 7.225
Al 0.449 2.650 4.311
Al 0.538 0.662 6.125
Al -0.288 -3.205 7.386
Tb 1.294 -0.219 3.111
Al 1.063 -0.882 8.565
Ag 0.000 0.000 0.000
Al -0.812 -1.661 4.945
Al 1.932 -1.742 11.231


3
Lattice="7.993 -0.005 0.000 6.811 4.183 0.000 -7.402 -2.089 2.176" Properties=species:S:1:pos:R:3 comment="GGA-PBE TaHgSb, optimized geometry" e_above_lowest_polymorph_ev_per_atom=0.025 formation_energy_uncorrected_ev_per_fu=1.0 sg="No. 107" pbc="T T T"
Hg 0.472 0.133 0.000
Sb 4.485 1.266 0.000
Ta 9.847 2.778 0.000


4
Lattice="4.421 -0.024 0.007 3.042 3.208 0.007 0.806 0.344 5.339" Properties=species:S:1:pos:R:3 comment="GGA-PBE SbAsIr2, optimized geometry" e_above_lowest_polymorph_ev_per_atom=0.180 formation_energy_uncorrected_ev_per_fu=0.1 sg="No. 8" pbc="T T T"
Ir 7.447 3.178 0.665
As 2.164 0.924 0.427
Ir 6.207 2.648 4.124
Sb 4.046 1.727 2.828


18
Lattice="5.113 0.000 0.000 0.000 5.113 0.000 0.000 0.000 10.174" Properties=species:S:1:pos:R:3 comment="GGA-PBE HfPaHgO6, optimized geometry" formation_energy_uncorrected_ev_per_fu=-22.3 sg="No. 102" pbc="T T T"
Hg 2.556 2.556 5.083
O 1.552 1.552 6.940
Hf 2.556 2.556 8.478
Pa 2.556 2.556 1.714
Hg 0.000 0.000 10.170
Hf 0.000 0.000 3.392
O 0.912 4.201 5.035
O 4.108 1.004 1.853
O 1.645 1.645 10.122
O 3.561 3.561 6.940
O 1.070 4.042 8.365
O 4.042 1.070 8.365
Pa 0.000 0.000 6.800
O 3.627 3.627 3.278
O 1.004 4.108 1.853
O 3.468 3.468 10.122
O 4.201 0.912 5.035
O 1.486 1.486 3.278


10
Lattice="-3.255 1.456 -2.804 -0.101 -3.213 -1.550 -9.582 -2.464 9.841" Properties=species:S:1:pos:R:3 comment="GGA-PBE TbYAl3, optimized geometry" delta_e_f_kj_per_mol_atoms=-44 sg="No. 63" pbc="T T T"
Al -8.161 -2.741 6.215
Y -2.190 -0.218 0.594
Al -9.987 -3.513 7.933
Al -4.142 -2.628 1.609
Tb -6.427 -3.593 3.759
Al -4.777 -1.480 -0.728
Tb -6.511 -0.628 1.728
Y -10.748 -4.004 4.893
Al -8.795 -1.594 3.878
Al -2.951 -0.709 -2.446


14
Lattice="-2.462 0.576 -3.642 -5.350 -3.317 3.093 -1.820 7.743 5.155" Properties=species:S:1:pos:R:3 comment="GGA-PBE Nd2Si3Au2, optimized geometry" formation_energy_uncorrected_ev_per_fu=-4.8 sg="No. 63" pbc="T T T"
Nd -2.277 1.644 1.800
Si -5.803 5.213 4.748
Nd -5.306 6.663 1.943
Si -4.259 3.909 0.800
Nd -4.327 -1.660 2.663
Si -5.373 1.094 3.806
Au -7.434 0.097 2.343
Si -7.641 4.074 5.811
Si -1.992 0.929 -1.205
Au -4.331 3.584 3.496
Nd -7.355 3.359 2.806
Au -2.199 4.906 2.263
Si -3.830 -0.210 -0.143
Au -5.301 1.419 1.110


16
Lattice="3.821 -5.027 0.000 3.821 5.027 0.000 0.000 0.000 8.644" Properties=species:S:1:pos:R:3 comment="GGA-PBE Mg14SiC, optimized geometry" e_above_lowest_polymorph_ev_per_atom=0.000 formation_energy_uncorrected_ev_per_fu=2.4 sg="No. 38" pbc="T T T"
Mg 3.821 -3.993 0.000
Mg 6.096 -1.686 0.000
Mg 1.547 -1.686 0.000
Mg 3.821 -1.593 1.931
Mg 2.371 1.325 5.926
Mg 3.821 4.135 2.537
Mg 3.821 0.738 0.000
Mg 5.497 -1.351 4.322
Mg 2.146 -1.351 4.322
Mg 3.821 -1.593 6.714
Mg 5.271 1.325 2.718
C 3.821 2.581 4.322
Mg 5.271 1.325 5.926
Si 3.821 -3.637 4.322
Mg 3.821 4.135 6.107
Mg 2.371 1.325 2.718


20
Lattice="7.300 0.669 0.526 -0.230 7.327 0.526 -1.394 -1.577 5.692" Properties=species:S:1:pos:R:3 comment="GGA-PBE BaCeGa2O6, optimized geometry" formation_energy_uncorrected_ev_per_fu=-25.4 sg="No. 15" pbc="T T T"
Ba 4.965 0.626 4.795
Ba 0.711 5.793 1.949
O 0.186 0.515 3.152
O 4.038 0.775 2.116
O 1.639 5.645 4.628
Ga 0.459 1.836 1.855
Ga 4.607 6.527 2.043
Ga 5.217 4.583 4.889
O 6.099 3.106 1.782
O 4.027 3.295 4.214
Ce 3.961 2.919 1.949
O 4.491 5.383 6.438
O 1.649 3.124 2.530
O 3.474 5.188 1.368
Ce 1.715 3.500 4.795
Ga 1.069 -0.108 4.701
O 1.185 1.036 0.306
O -0.422 3.314 4.962
O 2.202 1.231 5.376
O 5.490 5.904 3.592


4
Lattice="-1.791 -3.742 2.165 -0.143 -4.129 -2.198 2.814 -3.479 1.371" Properties=species:S:1:pos:R:3 comment="GGA-PBE MgScHgRu, optimized geometry" delta_e_f_kj_per_mol_atoms=-22 sg="No. 216" pbc="T T T"
Hg 0.220 -2.838 0.335
Mg 0.440 -5.675 0.669
Sc 0.000 0.000 0.000
Ru 0.660 -8.513 1.004


12
Lattice="-5.294 -2.680 -1.628 3.856 -2.887 3.828 -4.815 6.795 8.334" Properties=species:S:1:pos:R:3 comment="GGA-PBE Tb6SmDy3Ho2, optimized geometry" delta_e_f_kj_per_mol_atoms=1 sg="No. 12" pbc="T T T"
Tb -3.158 0.887 8.804
Dy -0.078 0.545 7.085
Tb -0.040 0.271 3.551
Tb -3.969 3.702 6.797
Tb -6.213 0.956 6.983
Dy -3.127 0.614 5.267
Dy -6.175 0.682 3.449
Tb -3.095 0.340 1.730
Sm 0.000 0.000 0.000
Ho -2.245 -2.749 0.190
Ho 0.807 -2.818 2.010
Tb -2.284 -2.475 3.737


3
Lattice="6.474 -0.004 -0.001 3.071 5.699 0.001 -4.050 -4.059 3.006" Properties=species:S:1:pos:R:3 comment="GGA-PBE BaSb2, optimized geometry" formation_energy_uncorrected_ev_per_fu=-1.3 sg="No. 71" pbc="T T T"
Sb 6.010 3.586 0.000
Ba 0.000 0.000 0.000
Sb 3.535 2.109 0.000


10
Lattice="-7.105 -2.624 1.323 0.381 -4.255 -6.393 1.153 -2.312 1.607" Properties=species:S:1:pos:R:3 comment="GGA-PBE SrTc2S2, optimized geometry" e_above_lowest_polymorph_ev_per_atom=0.785 formation_energy_uncorrected_ev_per_fu=0.4 sg="No. 127" pbc="T T T"
Sr 0.000 0.000 0.000
S -4.447 -2.227 -0.013
Tc -0.037 -4.106 -2.999
S -2.277 -4.652 -5.057
Sr -3.362 -3.440 -2.535
Tc -3.490 -6.528 -4.005
Tc -2.080 -2.663 0.542
Tc -5.533 -5.085 -0.464
S -5.919 -4.969 -2.900
S -0.805 -1.911 -2.170


12
Lattice="7.071 0.000 0.108 0.000 2.971 0.000 -5.786 0.000 7.074" Properties=species:S:1:pos:R:3 comment="GGA-PBE AlHF, optimized geometry" e_above_lowest_polymorph_ev_per_atom=0.053 sg="No. 12" pbc="T T T"
H -0.626 0.000 6.215
H 1.911 0.000 0.966
F 1.331 1.486 5.520
Al 0.410 0.000 4.856
F 4.224 0.000 1.983
Al 3.303 1.486 1.319
F -0.046 1.486 1.662
Al 0.875 0.000 2.326
H -0.981 1.486 4.504
Al -2.018 1.486 5.863
H 2.267 1.486 2.678
F -2.939 0.000 5.199